First-principles (PBE) data for an optimized crystal structure of Nd2DyMg4Tl2, as listed in OQMD.

```
Nd2DyMg4Tl2
1.0
4.733 0.000 0.000
0.000 6.597 3.875
0.000 -6.597 3.875
Mg Dy Tl Nd
4 1 2 2
Direct
0.500 0.243 0.000
0.500 0.000 0.243
0.500 0.759 0.759
0.000 0.007 0.007
0.000 0.431 0.431
0.500 0.334 0.661
0.500 0.661 0.334
0.000 0.569 0.998
0.000 0.998 0.569
```

Crystal system: orthorhombic
Total magnetization in μB per atom: 0.0034
Volume in A^3/atom: 26.9
Electronic total energy in eV per atom: -3.04

First-principles (PBE) data for an optimized crystal structure of NdDyMg2Tl2, as listed in OQMD.

```
NdDyMg2Tl2
1.0
-3.302 -3.410 -1.282
3.213 1.681 -3.320
4.836 -5.411 1.941
Nd Dy Mg Tl
1 1 2 2
Direct
0.000 0.000 0.837
0.000 0.000 0.336
0.667 0.333 0.556
0.333 0.667 0.071
0.667 0.333 0.125
0.333 0.667 0.612
```

Crystal system: trigonal
Total magnetization in μB per atom: 0.0002
Volume in A^3/atom: 26.2
Electronic total energy in eV per atom: -3.17

First-principles (PBE) data for an optimized crystal structure of NdDy2Mg3Tl2Zn, as listed in OQMD.

```
NdDy2Mg3Tl2Zn
1.0
4.614 0.000 0.000
0.000 6.588 3.735
0.000 -6.588 3.735
Dy Mg Tl Zn Nd
2 3 2 1 1
Direct
0.000 0.002 0.590
0.000 0.590 0.002
0.500 0.764 0.764
0.500 0.999 0.234
0.500 0.234 0.999
0.500 0.672 0.333
0.500 0.333 0.672
0.000 0.992 0.992
0.000 0.414 0.414
```

Crystal system: orthorhombic
Total magnetization in μB per atom: 0.0010
Volume in A^3/atom: 25.2
Electronic total energy in eV per atom: -3.06